Compound: K2Rb2MoO4
Source: Alexandria
Functional: GGA+U
Structure: optimized geometry

Cell: 6.3472 6.3472 8.9448 Å, 90.00 90.00 90.00°
Space group I4/mmm (No. 139)
One atom of each set of equivalent atoms:
K1 0.0000 0.0000 0.1472 x4
Rb1 0.0000 0.5000 0.2500 x4
Mo1 0.0000 0.0000 0.5000 x2
O1 0.2156 0.2156 0.5000 x8

Calculated values
**VASP energy**: -42.3 eV/f.u.
**Theoretical density**: 3.77 g/cm³
**Spin magnetization**: 0.0 μB/cell